Record 1
## Nd2FeGe4Pt (PBE)

Data for a geometry-optimized Nd2FeGe4Pt structure.

As for the density: 8605 kg/m³. For the electronic total energy, the calculation gives -5.9937 eV/atom. For the spin magnetization, the calculation gives 0.5 μB per cell.

It has space group Amm2 (No. 38), with a = 4.3779 Å, b = 4.3052 Å, c = 16.9950 Å, α = 90.00°, β = 90.00° and γ = 90.00°. The distinct sites, in fractional coordinates, are Nd at (0.0000, 0.0000, 0.0000), Nd at (0.5000, 0.0000, 0.2143), Fe at (0.5000, 0.0000, 0.4256), Ge at (0.0000, 0.0000, 0.3669), Ge at (0.0000, 0.0000, 0.6416), Ge at (0.5000, 0.0000, 0.5611), Ge at (0.5000, 0.0000, 0.8648) and Pt at (0.0000, 0.0000, 0.7854).

Record 2
## NdFeSiGe (PBE)

Data for a geometry-optimized NdFeSiGe structure.

As for the density: 6999 kg/m³. For the electronic total energy, the calculation gives -6.4682 eV/atom. For the spin magnetization, the calculation gives 0.0 μB per cell.

It has space group P2_1/m (No. 11), with a = 4.3565 Å, b = 4.0918 Å, c = 8.2331 Å, α = 90.00°, β = 103.46° and γ = 90.00°. The distinct sites, in fractional coordinates, are Nd at (0.1104, 0.2500, 0.2094), Fe at (0.3804, 0.2500, 0.6016), Si at (0.1742, 0.7500, 0.4966) and Ge at (0.4433, 0.2500, 0.8966).

Record 3
## NdFeSi2Ge (PBE)

Data for a geometry-optimized NdFeSi2Ge structure.

As for the density: 6361 kg/m³. For the electronic total energy, the calculation gives -6.2675 eV/atom. For the spin magnetization, the calculation gives 0.0 μB per cell.

It has space group I4mm (No. 107), with a = 4.1615 Å, b = 4.1615 Å, c = 9.9159 Å, α = 90.00°, β = 90.00° and γ = 90.00°. The distinct sites, in fractional coordinates, are Nd at (0.0000, 0.0000, 0.0000), Fe at (0.0000, 0.0000, 0.3331), Si at (0.0000, 0.5000, 0.2451) and Ge at (0.0000, 0.0000, 0.5648).

Record 4
## TbNdFe2Ge4 (PBE)

Data for a geometry-optimized TbNdFe2Ge4 structure.

As for the density: 7986 kg/m³. For the electronic total energy, the calculation gives -6.1037 eV/atom. For the spin magnetization, the calculation gives 0.0 μB per cell.

It has space group Pm (No. 6), with a = 4.3863 Å, b = 4.2055 Å, c = 8.2008 Å, α = 90.00°, β = 104.16° and γ = 90.00°. The distinct sites, in fractional coordinates, are Tb at (0.0000, 0.0000, 0.0000), Nd at (0.2191, 0.5000, 0.4172), Fe at (0.4949, 0.5000, 0.8218), Fe at (0.7326, 0.0000, 0.6021), Ge at (0.2977, 0.0000, 0.7095), Ge at (0.5607, 0.5000, 0.1083), Ge at (0.6615, 0.0000, 0.3105) and Ge at (0.9296, 0.5000, 0.7168).

Record 5
## NdYFe2Ge4 (PBE)

Data for a geometry-optimized NdYFe2Ge4 structure.

As for the density: 7089 kg/m³. For the spin magnetization, the calculation gives 3.1 μB per cell. The relative energy among the computed polymorphs is 5.3 kJ/mol of atoms.

It has space group Amm2 (No. 38), with a = 4.2349 Å, b = 4.2166 Å, c = 16.6693 Å, α = 90.00°, β = 90.00° and γ = 90.00°. The distinct sites, in fractional coordinates, are Nd at (0.0000, 0.0000, 0.0000), Y at (0.5000, 0.0000, 0.7831), Fe at (0.0000, 0.0000, 0.2098), Fe at (0.5000, 0.0000, 0.5755), Ge at (0.0000, 0.0000, 0.3458), Ge at (0.0000, 0.0000, 0.6431), Ge at (0.5000, 0.0000, 0.1443) and Ge at (0.5000, 0.0000, 0.4373).

Record 6
## NdYFe2Ge4 (PBE)

Data for a geometry-optimized NdYFe2Ge4 structure.

As for the density: 7092 kg/m³. For the spin magnetization, the calculation gives 0.0 μB per cell. The relative energy among the computed polymorphs is 0.0 kJ/mol of atoms.

It has space group Pm (No. 6), with a = 4.4047 Å, b = 4.2323 Å, c = 8.2286 Å, α = 90.00°, β = 104.09° and γ = 90.00°. The distinct sites, in fractional coordinates, are Nd at (0.0000, 0.0000, 0.0000), Y at (0.7777, 0.5000, 0.5821), Fe at (0.2733, 0.0000, 0.4043), Fe at (0.5128, 0.5000, 0.1849), Ge at (0.0777, 0.5000, 0.2927), Ge at (0.3386, 0.0000, 0.6910), Ge at (0.4425, 0.5000, 0.8932) and Ge at (0.7078, 0.0000, 0.2985).

Record 7
## NdYFe2Ge2 (PBE)

Data for a geometry-optimized NdYFe2Ge2 structure.

As for the density: 7117 kg/m³. For the electronic total energy, the calculation gives -6.6818 eV/atom. For the spin magnetization, the calculation gives 0.4 μB per cell.

It has space group P4mm (No. 99), with a = 4.1314 Å, b = 4.1314 Å, c = 6.7000 Å, α = 90.00°, β = 90.00° and γ = 90.00°. The distinct sites, in fractional coordinates, are Nd at (0.0000, 0.0000, 0.0000), Y at (0.5000, 0.5000, 0.3781), Fe at (0.0000, 0.5000, 0.6786), Ge at (0.0000, 0.0000, 0.4908) and Ge at (0.5000, 0.5000, 0.8657).

Record 8
## FeNiGe (PBE)

Data for a geometry-optimized FeNiGe structure.

As for the density: 8315 kg/m³. For the electronic total energy, the calculation gives -6.2234 eV/atom. For the spin magnetization, the calculation gives 8.1 μB per cell.

It has space group P-62m (No. 189), with a = 6.8887 Å, b = 6.8887 Å, c = 2.7288 Å, α = 90.00°, β = 90.00° and γ = 120.00°. The distinct sites, in fractional coordinates, are Fe at (0.0000, 0.6308, 0.0000), Ni at (0.0000, 0.0000, 0.0000), Ni at (0.3333, 0.6667, 0.5000) and Ge at (0.0000, 0.3007, 0.5000).